Entry 1:
Material: SrTb2Cd6
Method: DFT, PBE
State: optimized geometry

Unit cell a=3.5164 b=8.7482 c=8.7482 alpha=120.00 beta=90.00 gamma=90.00
Sites, in units of the cell vectors:
Cd: 0.5000 0.0000 0.6623
Cd: 0.5000 0.0000 0.3377
Cd: 0.5000 0.6623 0.0000
Cd: 0.5000 0.6623 0.6623
Cd: 0.5000 0.3377 0.0000
Cd: 0.5000 0.3377 0.3377
Tb: 0.0000 0.3333 0.6667
Tb: 0.0000 0.6667 0.3333
Sr: 0.0000 0.0000 0.0000

Properties
SG = No. 191
formation energy = -2.73 eV per formula unit
total magnetic moment = 0.00 μB/f.u.
theoretical density = 7694 kg/m³

Entry 2:
Material: MnSiSnIrS
Method: DFT, PBE
State: optimized geometry

Unit cell a=3.5636 b=5.6673 c=5.6235 alpha=123.49 beta=71.51 gamma=108.30
Site moments in Bohr magnetons follow the coordinates.
Sites, in units of the cell vectors:
Mn: 0.9657 0.9742 0.5180  3.07
Sn: 0.6647 0.4182 0.5626  -0.08
S: 0.4496 0.6641 0.2406  0.00
Ir: 0.7026 0.9529 0.0244  -0.02
Si: 0.3575 0.1666 0.9278  -0.04

Properties
SG = No. 8
excess energy over the best structure of this formula in the dataset = 91.3 meV/atom
total magnetic moment = 2.97 μB/f.u.
theoretical density = 8000 kg/m³

Entry 3:
Material: La9Y4In11
Method: DFT, PBE
State: optimized geometry

Unit cell a=3.5064 b=14.5063 c=14.5063 alpha=103.45 beta=90.00 gamma=90.00
Site moments in Bohr magnetons follow the coordinates.
Sites, in units of the cell vectors:
Y: 0.5000 0.4464 0.2560  0.02
Y: 0.5000 0.5536 0.7440  0.02
Y: 0.5000 0.2560 0.4464  0.02
Y: 0.5000 0.7440 0.5536  0.02
In: 0.0000 0.8435 0.1565  0.00
In: 0.0000 0.0000 0.0000  0.00
In: 0.0000 0.9344 0.5715  0.00
In: 0.0000 0.3657 0.6343  0.00
In: 0.0000 0.6343 0.3657  0.00
In: 0.0000 0.0656 0.4285  0.00
In: 0.0000 0.1565 0.8435  0.00
In: 0.0000 0.7383 0.7383  -0.01
In: 0.0000 0.2617 0.2617  -0.01
In: 0.0000 0.5715 0.9344  0.00
In: 0.0000 0.4285 0.0656  0.00
La: 0.5000 0.5000 0.5000  0.22
La: 0.5000 0.3640 0.8582  0.09
La: 0.5000 0.6360 0.1418  0.09
La: 0.5000 0.9505 0.7856  -0.07
La: 0.5000 0.7856 0.9505  -0.07
La: 0.5000 0.2144 0.0495  -0.07
La: 0.5000 0.0495 0.2144  -0.07
La: 0.5000 0.1418 0.6360  0.09
La: 0.5000 0.8582 0.3640  0.09

Properties
SG = No. 65
formation energy = -10.47 eV per formula unit
total magnetic moment = 0.69 μB/f.u.
theoretical density = 6638 kg/m³

Entry 4:
Material: Nb2InNiH
Method: DFT, PBE
State: optimized geometry

Unit cell a=4.0313 b=4.0313 c=4.3349 alpha=90.00 beta=90.00 gamma=90.00
Sites, in units of the cell vectors:
H: 0.0000 0.0000 0.0000
Nb: 0.0000 0.5000 0.0000
Nb: 0.5000 0.0000 0.0000
In: 0.5000 0.5000 0.5000
Ni: 0.0000 0.0000 0.5000

Properties
electronic total energy = -6.501 eV/atom
SG = No. 123
total magnetic moment = 0.00 μB/f.u.
theoretical density = 8493 kg/m³

Entry 5:
Material: KSiSe2Br
Method: DFT, PBE
State: optimized geometry

Unit cell a=5.8238 b=5.8238 c=5.7107 alpha=90.00 beta=90.00 gamma=90.00
Site moments in Bohr magnetons follow the coordinates.
Sites, in units of the cell vectors:
Se: 0.0000 0.5000 0.0000  0.76
Se: 0.5000 0.0000 0.0000  0.76
Br: 0.0000 0.0000 0.5000  0.14
Si: 0.5000 0.5000 0.5000  -0.22
K: 0.0000 0.0000 0.0000  0.04

Properties
SG = No. 123
excess energy over the best structure of this formula in the dataset = 1427.0 meV/atom
total magnetic moment = 2.01 μB/f.u.
theoretical density = 2615 kg/m³

Entry 6:
Material: Zn4Cu3Ag2
Method: DFT, PBE
State: optimized geometry

Unit cell a=3.7922 b=4.6931 c=8.3272 alpha=74.96 beta=89.85 gamma=65.91
Sites, in units of the cell vectors:
Zn: 0.3389 0.3228 0.1115
Zn: 0.9920 0.0167 0.6544
Zn: 0.0080 0.9833 0.3456
Zn: 0.6611 0.6772 0.8885
Cu: 0.3386 0.3213 0.4464
Cu: 0.6614 0.6787 0.5536
Cu: 0.0000 0.0000 0.0000
Ag: 0.3297 0.3408 0.7764
Ag: 0.6703 0.6592 0.2236

Properties
SG = No. 2
formation energy = -0.22 eV per formula unit
total magnetic moment = 0.00 μB/f.u.
theoretical density = 8549 kg/m³

Entry 7:
Material: Fe2HgSe
Method: DFT, PBE
State: optimized geometry

Unit cell a=6.6654 b=6.6654 c=5.5449 alpha=53.06 beta=53.06 gamma=90.00
Sites, in units of the cell vectors:
Se: 0.2500 0.7500 0.5000
Se: 0.5000 0.5000 0.0000
Fe: 0.3750 0.4328 0.7500
Fe: 0.5672 0.1250 0.2500
Fe: 0.8750 0.8172 0.7500
Fe: 0.1828 0.6250 0.2500
Hg: 0.0000 0.0000 0.0000
Hg: 0.7500 0.2500 0.5000

Properties
electronic total energy = -4.489 eV/atom
SG = No. 122
total magnetic moment = 0.00 μB/f.u.
theoretical density = 10013 kg/m³

Entry 8:
Material: Ni3IrSe
Method: DFT, PBE
State: optimized geometry

Unit cell a=4.5549 b=4.5549 c=4.5549 alpha=90.00 beta=90.00 gamma=90.00
Site moments in Bohr magnetons follow the coordinates.
Sites, in units of the cell vectors:
Ni: 0.0000 0.5000 0.0000  0.85
Ni: 0.5000 0.0000 0.0000  0.42
Ni: 0.0000 0.0000 0.5000  1.18
Se: 0.5000 0.5000 0.5000  0.16
Ir: 0.0000 0.0000 0.0000  0.80

Properties
SG = No. 221
excess energy over the best structure of this formula in the dataset = 380.8 meV/atom
total magnetic moment = 3.50 μB/f.u.
theoretical density = 7859 kg/m³

Entry 9:
Material: CoPb
Method: DFT, PBE
State: optimized geometry

Unit cell a=6.5550 b=6.5550 c=6.4179 alpha=67.00 beta=67.00 gamma=29.43
Site moments in Bohr magnetons follow the coordinates.
Sites, in units of the cell vectors:
Pb: 0.9745 0.9745 0.3372  -0.03
Pb: 0.7508 0.7508 0.1361  -0.04
Pb: 0.0494 0.0494 0.7736  -0.03
Co: 0.2784 0.2784 0.4585  1.34
Co: 0.3734 0.3734 0.7376  1.33
Co: 0.7402 0.7402 0.7237  1.61

Properties
SG = No. 8
formation energy = 0.80 eV per formula unit
total magnetic moment = 1.35 μB/f.u.
theoretical density = 10695 kg/m³

Entry 10:
Material: Sr3TeCl
Method: DFT, PBE
State: optimized geometry

Unit cell a=5.7580 b=5.7580 c=5.7580 alpha=90.00 beta=90.00 gamma=90.00
Site moments in Bohr magnetons follow the coordinates.
Sites, in units of the cell vectors:
Cl: 0.0000 0.0000 0.0000  0.01
Te: 0.5000 0.5000 0.5000  -0.03
Sr: 0.0000 0.0000 0.5000  0.24
Sr: 0.0000 0.5000 0.0000  0.19
Sr: 0.5000 0.0000 0.0000  0.15

Properties
SG = No. 221
excess energy over the best structure of this formula in the dataset = 0.0 meV/atom
total magnetic moment = 2.39 μB/f.u.
theoretical density = 3705 kg/m³

Entry 11:
Material: Na3Dy2US6
Method: DFT, PBE
State: optimized geometry

Unit cell a=6.9161 b=6.9161 c=7.0782 alpha=99.37 beta=99.37 gamma=120.00
Site moments in Bohr magnetons follow the coordinates.
Sites, in units of the cell vectors:
S: 0.0761 0.4105 0.2282  -0.02
S: 0.9239 0.5895 0.7718  -0.02
S: 0.4105 0.0761 0.2282  -0.02
S: 0.5895 0.9239 0.7718  -0.02
S: 0.2582 0.2582 0.7717  -0.02
S: 0.7418 0.7418 0.2283  -0.02
U: 0.0000 0.0000 0.0000  2.52
Na: 0.8324 0.1676 0.5000  0.00
Na: 0.1676 0.8324 0.5000  0.00
Na: 0.5000 0.5000 0.5000  0.00
Dy: 0.6666 0.3334 0.0000  0.11
Dy: 0.3334 0.6666 0.0000  0.11

Properties
electronic total energy = -5.755 eV/atom
SG = No. 12
total magnetic moment = 3.01 μB/f.u.
theoretical density = 4937 kg/m³

Entry 12:
Material: NaTa3O8
Method: DFT, PBE
State: optimized geometry

Unit cell a=3.8828 b=7.1874 c=6.8916 alpha=106.63 beta=106.36 gamma=90.00
Sites, in units of the cell vectors:
O: 0.8597 0.3199 0.7194
O: 0.2349 0.3184 0.4698
O: 0.7240 0.5930 0.4480
O: 0.3573 0.0288 0.7145
O: 0.4702 0.6082 0.9403
O: 0.5474 0.3015 0.0948
O: 0.6466 0.0201 0.2932
O: 0.1320 0.7378 0.2641
Ta: 0.6911 0.3029 0.3822
Ta: 0.6147 0.7391 0.2295
Ta: 0.3971 0.2866 0.7942
Na: 0.3233 0.7133 0.6465

Properties
SG = No. 8
excess energy over the best structure of this formula in the dataset = 52.0 meV/atom
total magnetic moment = 0.00 μB/f.u.
theoretical density = 6541 kg/m³